The following is a PBE calculation of LiLuMgHg after structural relaxation, from the Alexandria database.

Computed properties:
Final energy: -9.49 eV/f.u.
Total magnetization: 0.00 μB per formula unit

Unit cell a=4.912 b=4.912 c=4.912 alpha=60.00 beta=60.00 gamma=60.00
Fractional positions:
Hg 0.500 0.500 0.500
Lu 0.750 0.750 0.750
Mg 0.250 0.250 0.250
Li 0.000 0.000 0.000